(1)
Compound: PrIn2Pt2
Source: Alexandria via LeMat-Bulk
Functional: PBEsol
Structure: optimized geometry

SG	P2_1/m (11)
ΔH_f (0 K)	-0.79	eV/atom
electronic total energy	-5.810	eV per atom

```
data_PrIn2Pt2
_chemical_formula_sum 'Pr4 In8 Pt8'
_cell_length_a 10.1528
_cell_length_b 4.4723
_cell_length_c 10.1685
_cell_angle_alpha 90.00
_cell_angle_beta 116.88
_cell_angle_gamma 90.00
_symmetry_space_group_name_H-M 'P 1'
_symmetry_Int_Tables_number 1
loop_
_symmetry_equiv_pos_as_xyz
'x,y,z'
loop_
_atom_site_label
_atom_site_type_symbol
_atom_site_fract_x
_atom_site_fract_y
_atom_site_fract_z
Pr1 Pr 0.2103 0.2500 0.4499
Pr2 Pr 0.2892 0.2500 0.0965
Pr3 Pr 0.7108 0.7500 0.9035
Pr4 Pr 0.7897 0.7500 0.5501
In1 In 0.0408 0.7500 0.9054
In2 In 0.1040 0.2500 0.7267
In3 In 0.4244 0.7500 0.3804
In4 In 0.4480 0.2500 0.8535
In5 In 0.5520 0.7500 0.1465
In6 In 0.5756 0.2500 0.6196
In7 In 0.8960 0.7500 0.2733
In8 In 0.9592 0.2500 0.0946
Pt1 Pt 0.1011 0.7500 0.5705
Pt2 Pt 0.1300 0.7500 0.2038
Pt3 Pt 0.2981 0.7500 0.8733
Pt4 Pt 0.4173 0.7500 0.6557
Pt5 Pt 0.5827 0.2500 0.3443
Pt6 Pt 0.7019 0.2500 0.1267
Pt7 Pt 0.8700 0.2500 0.7962
Pt8 Pt 0.8989 0.2500 0.4295
```

(2)
Compound: MnPd3Br
Source: Alexandria via LeMat-Bulk
Functional: PBEsol
Structure: optimized geometry

formation energy from raw total energies	817	meV/atom
SG	Pm-3m (221)
electronic total energy	-5.085	eV per atom

```
data_MnPd3Br
_chemical_formula_sum 'Mn1 Pd3 Br1'
_cell_length_a 4.6346
_cell_length_b 4.6346
_cell_length_c 4.6346
_cell_angle_alpha 90.00
_cell_angle_beta 90.00
_cell_angle_gamma 90.00
_symmetry_space_group_name_H-M 'P 1'
_symmetry_Int_Tables_number 1
loop_
_symmetry_equiv_pos_as_xyz
'x,y,z'
loop_
_atom_site_label
_atom_site_type_symbol
_atom_site_fract_x
_atom_site_fract_y
_atom_site_fract_z
Mn1 Mn 0.0000 0.0000 0.0000
Pd1 Pd 0.0000 0.5000 0.5000
Pd2 Pd 0.5000 0.0000 0.5000
Pd3 Pd 0.5000 0.5000 0.0000
Br1 Br 0.5000 0.5000 0.5000
```

(3)
Compound: YWSe2
Source: Alexandria via LeMat-Bulk
Functional: PBEsol
Structure: optimized geometry

formation energy from raw total energies	10	meV/atom
polymorph energy (0 for the lowest one)	0.530	eV/atom
SG	R-3m (166)
electronic total energy	-7.072	eV per atom

```
data_YWSe2
_chemical_formula_sum 'Y3 W3 Se6'
_cell_length_a 3.4463
_cell_length_b 3.4463
_cell_length_c 26.0175
_cell_angle_alpha 90.00
_cell_angle_beta 90.00
_cell_angle_gamma 120.00
_symmetry_space_group_name_H-M 'P 1'
_symmetry_Int_Tables_number 1
loop_
_symmetry_equiv_pos_as_xyz
'x,y,z'
loop_
_atom_site_label
_atom_site_type_symbol
_atom_site_fract_x
_atom_site_fract_y
_atom_site_fract_z
Y1 Y 0.0000 0.0000 0.0000
Y2 Y 0.3333 0.6667 0.6667
Y3 Y 0.6667 0.3333 0.3333
W1 W 0.0000 0.0000 0.5000
W2 W 0.3333 0.6667 0.1667
W3 W 0.6667 0.3333 0.8333
Se1 Se 0.0000 0.0000 0.4077
Se2 Se 0.0000 0.0000 0.5923
Se3 Se 0.3333 0.6667 0.0744
Se4 Se 0.3333 0.6667 0.2590
Se5 Se 0.6667 0.3333 0.7410
Se6 Se 0.6667 0.3333 0.9256
```

(4)
Compound: ZrTa2Rh
Source: Alexandria via LeMat-Bulk
Functional: PBEsol
Structure: optimized geometry

SG	F-43m (216)
ΔH_f (0 K)	-0.24	eV/atom
electronic total energy	-10.819	eV per atom

```
data_ZrTa2Rh
_chemical_formula_sum 'Zr4 Ta8 Rh4'
_cell_length_a 6.4897
_cell_length_b 6.4897
_cell_length_c 6.4897
_cell_angle_alpha 90.00
_cell_angle_beta 90.00
_cell_angle_gamma 90.00
_symmetry_space_group_name_H-M 'P 1'
_symmetry_Int_Tables_number 1
loop_
_symmetry_equiv_pos_as_xyz
'x,y,z'
loop_
_atom_site_label
_atom_site_type_symbol
_atom_site_fract_x
_atom_site_fract_y
_atom_site_fract_z
Zr1 Zr 0.0000 0.0000 0.0000
Zr2 Zr 0.0000 0.5000 0.5000
Zr3 Zr 0.5000 0.0000 0.5000
Zr4 Zr 0.5000 0.5000 0.0000
Ta1 Ta 0.0000 0.0000 0.5000
Ta2 Ta 0.0000 0.5000 0.0000
Ta3 Ta 0.2500 0.2500 0.7500
Ta4 Ta 0.2500 0.7500 0.2500
Ta5 Ta 0.5000 0.0000 0.0000
Ta6 Ta 0.5000 0.5000 0.5000
Ta7 Ta 0.7500 0.2500 0.2500
Ta8 Ta 0.7500 0.7500 0.7500
Rh1 Rh 0.2500 0.2500 0.2500
Rh2 Rh 0.2500 0.7500 0.7500
Rh3 Rh 0.7500 0.2500 0.7500
Rh4 Rh 0.7500 0.7500 0.2500
```

What did the first record say?
Compound: PrIn2Pt2
Source: Alexandria via LeMat-Bulk
Functional: PBEsol
Structure: optimized geometry

SG	P2_1/m (11)
ΔH_f (0 K)	-0.79	eV/atom
electronic total energy	-5.810	eV per atom

```
data_PrIn2Pt2
_chemical_formula_sum 'Pr4 In8 Pt8'
_cell_length_a 10.1528
_cell_length_b 4.4723
_cell_length_c 10.1685
_cell_angle_alpha 90.00
_cell_angle_beta 116.88
_cell_angle_gamma 90.00
_symmetry_space_group_name_H-M 'P 1'
_symmetry_Int_Tables_number 1
loop_
_symmetry_equiv_pos_as_xyz
'x,y,z'
loop_
_atom_site_label
_atom_site_type_symbol
_atom_site_fract_x
_atom_site_fract_y
_atom_site_fract_z
Pr1 Pr 0.2103 0.2500 0.4499
Pr2 Pr 0.2892 0.2500 0.0965
Pr3 Pr 0.7108 0.7500 0.9035
Pr4 Pr 0.7897 0.7500 0.5501
In1 In 0.0408 0.7500 0.9054
In2 In 0.1040 0.2500 0.7267
In3 In 0.4244 0.7500 0.3804
In4 In 0.4480 0.2500 0.8535
In5 In 0.5520 0.7500 0.1465
In6 In 0.5756 0.2500 0.6196
In7 In 0.8960 0.7500 0.2733
In8 In 0.9592 0.2500 0.0946
Pt1 Pt 0.1011 0.7500 0.5705
Pt2 Pt 0.1300 0.7500 0.2038
Pt3 Pt 0.2981 0.7500 0.8733
Pt4 Pt 0.4173 0.7500 0.6557
Pt5 Pt 0.5827 0.2500 0.3443
Pt6 Pt 0.7019 0.2500 0.1267
Pt7 Pt 0.8700 0.2500 0.7962
Pt8 Pt 0.8989 0.2500 0.4295
```

Q: Among the records above, which one has the lowest electronic total energy?
A: ZrTa2Rh

Q: electronic total energy of number 1 (PrIn2Pt2)?
A: -5.810 eV per atom

Q: Look up the electronic total energy of the second one.
A: -5.085 eV per atom